First-principles (PBE) data for a relaxed LiAc5Tl6 crystal, as listed in Alexandria via LeMat-Bulk.

Cell and atoms, written as extended XYZ:
```
12
Lattice="-2.860 4.054 8.713 2.860 -4.054 8.713 2.860 4.054 -8.713" Properties=species:S:1:pos:R:3 pbc="T T T"
Li 0.000 0.000 0.000
Ac 2.860 0.000 2.849
Ac 0.000 0.000 5.770
Ac 0.000 4.054 0.000
Ac 0.000 0.000 11.656
Ac 0.000 4.054 5.864
Tl 2.860 -2.123 5.979
Tl 2.860 1.888 0.000
Tl 0.000 1.932 2.734
Tl 2.860 2.123 5.979
Tl 0.000 2.166 8.713
Tl 0.000 6.177 2.734
```

E_tot: -40.51 eV per cell
crystal system: orthorhombic
E_form: -0.321 eV/atom